Material: Mn2CuO6
Method: DFT, GGA+U
State: optimized geometry

a = 4.4285 Å, b = 5.0800 Å, c = 5.0800 Å
α = 120.00°, β = 90.00°, γ = 90.00°
Last column: nearest neighbours and their distance in Å.
Fractional coordinates of all 9 atoms:
Mn 0.5000 0.6667 0.3333  6 O 1.94
Mn 0.5000 0.3333 0.6667  6 O 1.94
Cu 0.5000 0.0000 0.0000  6 O 1.96
O 0.2842 0.6639 0.6639  2 Mn 1.94, 1 Cu 1.96
O 0.2842 0.0000 0.3361  2 Mn 1.94, 1 Cu 1.96
O 0.2842 0.3361 0.0000  2 Mn 1.94, 1 Cu 1.96
O 0.7158 0.3361 0.3361  2 Mn 1.94, 1 Cu 1.96
O 0.7158 0.0000 0.6639  2 Mn 1.94, 1 Cu 1.96
O 0.7158 0.6639 0.0000  2 Mn 1.94, 1 Cu 1.96

D(E_F)	5.3	states/eV/f.u.
total energy	-0.23091	hartree per atom